w) Compound: Cr2Ge2Bi
Source: Alexandria
Functional: PBE
Structure: optimized geometry

Cell: 7.3673 7.3673 3.0369 Å, 90.00 90.00 90.00°
With the nearest neighbours (Å) after each atom.
Space group P4/mbm (No. 127)
Symmetry-distinct sites (fractional):
Cr 0.1442 0.3558 0.0000  6 Ge 2.59-2.72, 2 Bi 2.83
Ge 0.1397 0.6397 0.5000  6 Cr 2.59-2.72
Bi 0.0000 0.0000 0.0000  4 Cr 2.83, 2 Bi 3.04

x) Compound: Cr2Ge2Bi
Source: Alexandria
Functional: PBE
Structure: optimized geometry

Cell: 3.7446 3.7446 12.9575 Å, 90.00 90.00 90.00°
With the nearest neighbours (Å) after each atom.
Space group I4/mmm (No. 139)
Symmetry-distinct sites (fractional):
Cr 0.0000 0.0000 0.1131  4 Ge 2.58
Ge 0.0000 0.5000 0.2500  4 Cr 2.58, 4 Ge 2.65
Bi 0.0000 0.0000 0.5000  8 Cr 3.03

Most stable pick: x). Distance to second place: 128 meV/atom.

w) Compound: CrBiH2
Source: Alexandria
Functional: PBE
Structure: optimized geometry

Cell: 4.5092 4.5092 10.3675 Å, 90.00 90.00 90.00°
With the nearest neighbours (Å) after each atom.
Space group I-42d (No. 122)
Symmetry-distinct sites (fractional):
Cr 0.0000 0.0000 0.0000  4 H 1.72
Bi 0.0000 0.0000 0.5000  8 H 2.83-2.84
H 0.0012 0.7500 0.1250  2 Cr 1.72

x) Compound: CrBiH2
Source: Alexandria
Functional: PBE
Structure: optimized geometry

Cell: 5.9471 5.9471 5.9471 Å, 90.00 90.00 90.00°
With the nearest neighbours (Å) after each atom.
Space group Fm-3m (No. 225)
Symmetry-distinct sites (fractional):
Cr 0.0000 0.0000 0.0000  8 H 2.58
Bi 0.0000 0.0000 0.5000  8 H 2.58
H 0.2500 0.2500 0.2500  4 Cr 2.58, 4 Bi 2.58

Most stable pick: w). Distance to second place: 519 meV/atom.

w) Compound: Cr3BiH
Source: Alexandria
Functional: PBE
Structure: optimized geometry

Cell: 5.4185 5.4185 5.4185 Å, 90.00 90.00 90.00°
With the nearest neighbours (Å) after each atom.
Space group Pm-3m (No. 221)
Symmetry-distinct sites (fractional):
Cr 0.0000 0.0000 0.5000  2 Bi 2.71
Bi 0.0000 0.0000 0.0000  6 Cr 2.71
H 0.5000 0.5000 0.5000  12 Cr 3.83

x) Compound: Cr3BiH
Source: Alexandria
Functional: PBE
Structure: optimized geometry

Cell: 4.0458 4.0458 4.0458 Å, 90.00 90.00 90.00°
With the nearest neighbours (Å) after each atom.
Space group Pm-3m (No. 221)
Symmetry-distinct sites (fractional):
Cr 0.0000 0.0000 0.5000  2 H 2.02
Bi 0.5000 0.5000 0.5000  12 Cr 2.86
H 0.0000 0.0000 0.0000  6 Cr 2.02

Most stable pick: x). Distance to second place: 1223 meV/atom.